The following is a PBE calculation of a geometry-optimized TiAgHCl2 structure, from Alexandria.

The calculation puts the total energy at -14.158 eV for the cell shown. The calculation puts the magnetic moment at 2.1 μB per cell.

Cell: 4.897 5.525 4.897 Å, 90.00 90.00 90.00°
Sites, in units of the cell vectors:
Ag 0.000 0.000 0.000
Ti 0.000 0.500 0.000
Cl 0.000 0.000 0.500
Cl 0.500 0.000 0.000
H 0.500 0.500 0.500